First-principles (PBEsol) data for a geometry-optimized Sr2HgAu structure, as listed in the Alexandria database.

The energy of formation comes out at -0.62 eV/atom.

Cell and atoms, written as POSCAR:
```
Sr2HgAu
1.0
-0.2715 -3.7423 -1.9933
2.5647 1.7630 -3.6591
5.1004 0.1095 3.6278
Sr Au Hg
2 1 1
Direct
0.9852 0.5000 0.9705 Sr
0.2658 0.0000 0.5316 Sr
0.5480 0.0000 0.0960 Au
0.7010 0.5000 0.4020 Hg
```